ReTe2Mo | GGA-PBE | relaxed

**Excess energy over the best structure of this formula in the dataset**: 0.8923 eV per atom
**M_tot**: 0.000 μB/f.u.
**Space-group type**: No. 47
**Fermi-level density of states**: 1.068 states/eV per atom
**Uncorrected formation energy**: 1.10 eV per atom

Lattice parameters (Å, degrees): 3.3034 4.3507 5.5280 90.00 90.00 90.00
Closest atoms and distances in Å follow each position.
Fractional positions:
Re: 0.0000 0.0000 0.0000  4 Te 2.73
Te: 0.0000 0.5000 0.5000  4 Mo 2.73
Te: 0.5000 0.5000 0.0000  4 Re 2.73
Mo: 0.5000 0.0000 0.5000  4 Te 2.73